Run P
First-principles (PBE-GGA) data for crystalline Y2Ga2Pd at its relaxed geometry, as listed in the Alexandria database.

## Properties
Volume (Å³/atom): 21.3
Density of states at the Fermi level (states/eV/cell): 7.32

Lattice parameters (Å, degrees): 6.9997 6.9997 4.3501 90.00 90.00 90.00
With the nearest neighbours (Å) after each atom.
Positions (direct):
Y  0.1709  0.6709  0.5000  6 Ga 2.91-3.05
Y  0.6709  0.8291  0.5000  6 Ga 2.91-3.05
Y  0.8291  0.3291  0.5000  6 Ga 2.91-3.05
Y  0.3291  0.1709  0.5000  6 Ga 2.91-3.05
Ga  0.3668  0.8668  0.0000  1 Ga 2.64, 2 Pd 2.73, 2 Y 2.91
Ga  0.8668  0.6332  0.0000  1 Ga 2.64, 2 Pd 2.73, 2 Y 2.91
Ga  0.6332  0.1332  0.0000  1 Ga 2.64, 2 Pd 2.73, 2 Y 2.91
Ga  0.1332  0.3668  0.0000  1 Ga 2.64, 2 Pd 2.73, 2 Y 2.91
Pd  0.0000  0.0000  0.0000  4 Ga 2.73
Pd  0.5000  0.5000  0.0000  4 Ga 2.73

=====

Run Q
First-principles (PBE-GGA) data for crystalline Y2Ga2Pd at its relaxed geometry, as listed in the Alexandria database.

## Properties
Volume (Å³/atom): 22.9
Density of states at the Fermi level (states/eV/cell): 4.27

Lattice parameters (Å, degrees): 3.6500 3.6500 8.9875 78.28 78.28 90.00
With the nearest neighbours (Å) after each atom.
Positions (direct):
Y  0.4016  0.4016  0.1968  4 Pd 3.09, 4 Ga 3.18, 1 Y 3.39
Y  0.5984  0.5984  0.8032  4 Pd 3.09, 4 Ga 3.18, 1 Y 3.39
Ga  0.7500  0.2500  0.5000  4 Ga 2.58
Ga  0.2500  0.7500  0.5000  4 Ga 2.58
Pd  0.0000  0.0000  0.0000  8 Y 3.09

=====

Last place for stability: run Q

=====

Run P
First-principles (PBE-GGA) data for crystalline Y2Ga5Pd3 at its relaxed geometry, as listed in the Alexandria database.

## Properties
Volume (Å³/atom): 18.6
Density of states at the Fermi level (states/eV/cell): 9.90

Lattice parameters (Å, degrees): 5.7182 8.6669 8.6669 71.88 70.74 70.74
With the nearest neighbours (Å) after each atom.
Positions (direct):
Y  0.1410  0.5846  0.1333  10 Ga 3.10-3.43, 4 Pd 3.16-3.30
Y  0.6410  0.1333  0.5846  10 Ga 3.10-3.43, 4 Pd 3.16-3.30
Y  0.8590  0.4154  0.8667  10 Ga 3.10-3.43, 4 Pd 3.16-3.30
Y  0.3590  0.8667  0.4154  10 Ga 3.10-3.43, 4 Pd 3.16-3.30
Ga  0.4052  0.2659  0.9238  3 Pd 2.49-2.56, 2 Ga 2.67
Ga  0.9052  0.9238  0.2659  3 Pd 2.49-2.56, 2 Ga 2.67
Ga  0.5948  0.7341  0.0762  3 Pd 2.49-2.56, 2 Ga 2.67
Ga  0.0948  0.0762  0.7341  3 Pd 2.49-2.56, 2 Ga 2.67
Ga  0.4567  0.7933  0.7933  3 Pd 2.55-2.65, 4 Ga 2.67-2.86
Ga  0.5433  0.2067  0.2067  3 Pd 2.55-2.65, 4 Ga 2.67-2.86
Ga  0.7500  0.5000  0.5000  4 Pd 2.54
Ga  0.2500  0.5000  0.5000  4 Pd 2.54
Ga  0.0433  0.2067  0.2067  3 Pd 2.55-2.65, 4 Ga 2.67-2.86
Ga  0.9567  0.7933  0.7933  3 Pd 2.55-2.65, 4 Ga 2.67-2.86
Pd  0.3542  0.5526  0.7391  5 Ga 2.49-2.55
Pd  0.8542  0.7391  0.5526  5 Ga 2.49-2.55
Pd  0.6458  0.4474  0.2609  5 Ga 2.49-2.55
Pd  0.1458  0.2609  0.4474  5 Ga 2.49-2.55
Pd  0.2500  0.0000  0.0000  6 Ga 2.56-2.65, 2 Pd 2.86
Pd  0.7500  0.0000  0.0000  6 Ga 2.56-2.65, 2 Pd 2.86

=====

Run Q
First-principles (PBE-GGA) data for crystalline Y2Ga5Pd3 at its relaxed geometry, as listed in the Alexandria database.

## Properties
Volume (Å³/atom): 18.4
Density of states at the Fermi level (states/eV/cell): 10.13

Lattice parameters (Å, degrees): 4.3926 6.7296 12.6270 90.00 100.02 90.00
With the nearest neighbours (Å) after each atom.
Positions (direct):
Y  0.4840  0.7481  0.9681  5 Pd 2.89-3.13, 6 Ga 3.02-3.19
Y  0.1747  0.7292  0.3494  10 Ga 3.06-3.43, 5 Pd 3.12-3.42
Y  0.8253  0.2292  0.6506  10 Ga 3.06-3.43, 5 Pd 3.12-3.42
Y  0.5160  0.2481  0.0319  5 Pd 2.89-3.13, 6 Ga 3.02-3.19
Ga  0.3959  0.4160  0.7918  3 Pd 2.56-2.66, 1 Ga 2.68
Ga  0.2917  0.5205  0.5834  3 Pd 2.61, 2 Ga 2.68-2.73
Ga  0.7083  0.0205  0.4166  3 Pd 2.61, 2 Ga 2.68-2.73
Ga  0.1224  0.2582  0.2448  4 Pd 2.56-2.85, 1 Ga 2.72
Ga  0.2937  0.9257  0.5873  4 Pd 2.58-2.63, 1 Ga 2.73
Ga  0.9493  0.0637  0.8986  4 Pd 2.61-2.68, 1 Ga 2.72
Ga  0.7063  0.4257  0.4127  4 Pd 2.58-2.63, 1 Ga 2.73
Ga  0.8776  0.7582  0.7552  4 Pd 2.56-2.85, 1 Ga 2.72
Ga  0.0507  0.5637  0.1014  4 Pd 2.61-2.68, 1 Ga 2.72
Ga  0.6041  0.9160  0.2082  3 Pd 2.56-2.66, 1 Ga 2.68
Pd  0.7750  0.7208  0.5501  7 Ga 2.56-2.63
Pd  0.6058  0.5208  0.2117  6 Ga 2.58-2.85
Pd  0.0526  0.9618  0.1053  5 Ga 2.56-2.68
Pd  0.2250  0.2208  0.4499  7 Ga 2.56-2.63
Pd  0.9474  0.4618  0.8947  5 Ga 2.56-2.68
Pd  0.3942  0.0208  0.7883  6 Ga 2.58-2.85

=====

Last place for stability: run Q

=====

Run P
First-principles (PBE-GGA) data for crystalline YGa8Pd4 at its relaxed geometry, as listed in the Alexandria database.

## Properties
Volume (Å³/atom): 16.8
Density of states at the Fermi level (states/eV/cell): 4.94

Lattice parameters (Å, degrees): 5.5727 6.8510 6.8510 80.48 66.00 66.00
With the nearest neighbours (Å) after each atom.
Positions (direct):
Y  0.0000  0.0000  0.0000  12 Ga 3.09-3.38, 8 Pd 3.43
Ga  0.0000  0.3486  0.6514  3 Ga 2.68-2.85, 4 Pd 2.76
Ga  0.0000  0.6514  0.3486  3 Ga 2.68-2.85, 4 Pd 2.76
Ga  0.3486  0.6514  0.6514  3 Ga 2.68-2.85, 4 Pd 2.76
Ga  0.6514  0.3486  0.3486  3 Ga 2.68-2.85, 4 Pd 2.76
Ga  0.5000  0.7836  0.2164  4 Pd 2.63, 4 Ga 2.71-2.85
Ga  0.5000  0.2164  0.7836  4 Pd 2.63, 4 Ga 2.71-2.85
Ga  0.2836  0.2164  0.2164  4 Pd 2.63, 4 Ga 2.71-2.85
Ga  0.7164  0.7836  0.7836  4 Pd 2.63, 4 Ga 2.71-2.85
Pd  0.0000  0.0000  0.5000  8 Ga 2.63-2.76, 2 Pd 2.79
Pd  0.5000  0.0000  0.5000  8 Ga 2.63-2.76, 2 Pd 2.79
Pd  0.0000  0.5000  0.0000  8 Ga 2.63-2.76, 2 Pd 2.79
Pd  0.5000  0.5000  0.0000  8 Ga 2.63-2.76, 2 Pd 2.79

=====

Run Q
First-principles (PBE-GGA) data for crystalline YGa8Pd4 at its relaxed geometry, as listed in the Alexandria database.

## Properties
Volume (Å³/atom): 20.2
Density of states at the Fermi level (states/eV/cell): 6.30

Lattice parameters (Å, degrees): 5.8092 5.8092 9.5971 72.38 72.38 60.00
With the nearest neighbours (Å) after each atom.
Positions (direct):
Y  0.5000  0.5000  0.5000  6 Ga 2.98
Ga  0.7527  0.2386  0.7702  3 Pd 2.63-2.68, 4 Ga 2.82-2.91
Ga  0.7614  0.2473  0.2298  3 Pd 2.63-2.68, 4 Ga 2.82-2.91
Ga  0.2473  0.7614  0.2298  3 Pd 2.63-2.68, 4 Ga 2.82-2.91
Ga  0.7614  0.7614  0.2298  3 Pd 2.63-2.68, 4 Ga 2.82-2.91
Ga  0.7495  0.7495  0.7515  3 Pd 2.79, 6 Ga 2.91
Ga  0.2505  0.2505  0.2485  3 Pd 2.79, 6 Ga 2.91
Ga  0.2386  0.2386  0.7702  3 Pd 2.63-2.68, 4 Ga 2.82-2.91
Ga  0.2386  0.7527  0.7702  3 Pd 2.63-2.68, 4 Ga 2.82-2.91
Pd  0.0000  0.5000  0.0000  6 Ga 2.68-2.79, 6 Pd 2.90
Pd  0.5000  0.5000  0.0000  6 Ga 2.68-2.79, 6 Pd 2.90
Pd  0.5000  0.0000  0.0000  6 Ga 2.68-2.79, 6 Pd 2.90
Pd  0.0000  0.0000  0.0000  6 Ga 2.63, 6 Pd 2.90

=====

Last place for stability: run Q

=====

Run P
First-principles (PBE-GGA) data for crystalline YGa2Pd4 at its relaxed geometry, as listed in the Alexandria database.

## Properties
Volume (Å³/atom): 17.4
Density of states at the Fermi level (states/eV/cell): 5.53

Lattice parameters (Å, degrees): 3.9474 7.8599 7.8599 90.00 90.00 90.00
With the nearest neighbours (Å) after each atom.
Positions (direct):
Y  0.5000  0.0000  0.0000  6 Ga 3.08-3.17, 8 Pd 3.32
Y  0.0000  0.5000  0.5000  6 Ga 3.08-3.17, 8 Pd 3.32
Ga  0.0000  0.2228  0.7772  6 Pd 2.52-2.55
Ga  0.0000  0.7772  0.2228  6 Pd 2.52-2.55
Ga  0.5000  0.7228  0.7228  6 Pd 2.52-2.55
Ga  0.5000  0.2772  0.2772  6 Pd 2.52-2.55
Pd  0.0000  0.0789  0.3296  3 Ga 2.52-2.55, 1 Pd 2.79
Pd  0.0000  0.9211  0.6704  3 Ga 2.52-2.55, 1 Pd 2.79
Pd  0.5000  0.1704  0.5789  3 Ga 2.52-2.55, 1 Pd 2.79
Pd  0.5000  0.8296  0.4211  3 Ga 2.52-2.55, 1 Pd 2.79
Pd  0.5000  0.4211  0.8296  3 Ga 2.52-2.55, 1 Pd 2.79
Pd  0.5000  0.5789  0.1704  3 Ga 2.52-2.55, 1 Pd 2.79
Pd  0.0000  0.3296  0.0789  3 Ga 2.52-2.55, 1 Pd 2.79
Pd  0.0000  0.6704  0.9211  3 Ga 2.52-2.55, 1 Pd 2.79

=====

Run Q
First-principles (PBE-GGA) data for crystalline YGa2Pd4 at its relaxed geometry, as listed in the Alexandria database.

## Properties
Volume (Å³/atom): 17.0
Density of states at the Fermi level (states/eV/cell): 8.76

Lattice parameters (Å, degrees): 4.3086 6.6589 16.6169 90.00 90.00 90.00
With the nearest neighbours (Å) after each atom.
Positions (direct):
Y  0.7500  0.0897  0.6401  9 Pd 2.90-3.12, 1 Ga 3.20
Y  0.2500  0.9103  0.3599  9 Pd 2.90-3.12, 1 Ga 3.20
Y  0.2500  0.5897  0.8599  9 Pd 2.90-3.12, 1 Ga 3.20
Y  0.7500  0.4103  0.1401  9 Pd 2.90-3.12, 1 Ga 3.20
Pd  0.2500  0.4060  0.6714  4 Ga 2.70-2.89, 5 Pd 2.90-2.96
Pd  0.7500  0.5940  0.3286  4 Ga 2.70-2.89, 5 Pd 2.90-2.96
Pd  0.7500  0.9060  0.8286  4 Ga 2.70-2.89, 5 Pd 2.90-2.96
Pd  0.2500  0.0940  0.1714  4 Ga 2.70-2.89, 5 Pd 2.90-2.96
Pd  0.2500  0.8321  0.7105  4 Ga 2.47-2.57
Pd  0.7500  0.1679  0.2895  4 Ga 2.47-2.57
Pd  0.7500  0.3321  0.7895  4 Ga 2.47-2.57
Pd  0.2500  0.6679  0.2105  4 Ga 2.47-2.57
Pd  0.2500  0.1355  0.5249  3 Ga 2.69-2.71, 3 Pd 2.86-2.93, 2 Y 2.90
Pd  0.7500  0.8645  0.4751  3 Ga 2.69-2.71, 3 Pd 2.86-2.93, 2 Y 2.90
Pd  0.7500  0.6355  0.9751  3 Ga 2.69-2.71, 3 Pd 2.86-2.93, 2 Y 2.90
Pd  0.2500  0.3645  0.0249  3 Ga 2.69-2.71, 3 Pd 2.86-2.93, 2 Y 2.90
Pd  0.2500  0.5098  0.4407  4 Ga 2.52-2.73
Pd  0.7500  0.4902  0.5593  4 Ga 2.52-2.73
Pd  0.7500  0.0098  0.0593  4 Ga 2.52-2.73
Pd  0.2500  0.9902  0.9407  4 Ga 2.52-2.73
Ga  0.2500  0.7409  0.5605  7 Pd 2.52-2.73
Ga  0.7500  0.2591  0.4395  7 Pd 2.52-2.73
Ga  0.7500  0.2409  0.9395  7 Pd 2.52-2.73
Ga  0.2500  0.7591  0.0605  7 Pd 2.52-2.73
Ga  0.2500  0.1362  0.7959  7 Pd 2.47-2.74
Ga  0.7500  0.8638  0.2041  7 Pd 2.47-2.74
Ga  0.7500  0.6362  0.7041  7 Pd 2.47-2.74
Ga  0.2500  0.3638  0.2959  7 Pd 2.47-2.74

=====

Last place for stability: run P